Below is AsPAu2 after structural relaxation, with properties calculated at the PBE-GGA level.

a b c (Å): 3.2708 4.6919 9.2812
angles (deg): 90.00 90.00 90.00
Closest atoms and distances in Å follow each position.
Space group Cmm2 (No. 35)
Unique sites:
As 0.0000 0.0000 0.0000 x2  2 P 2.80, 4 As 2.86, 2 Au 2.93
P 0.0000 0.5000 0.2450 x2  2 Au 2.72, 2 As 2.80, 4 P 2.86
Au 0.0000 0.0000 0.4789 x2  2 P 2.72, 6 Au 2.86-2.91
Au 0.0000 0.5000 0.7385 x2  6 Au 2.86-2.91, 2 As 2.93

## Properties
relative energy among the computed polymorphs = 0.248 eV/atom
N(E_F) = 0.751 states/eV/f.u.
calculated density = 11.655 g/cm³
calculated total energy = -3.78 eV/atom
volume = 71.21 Å³/f.u.

Below is Ac5NdAu6 after structural relaxation, with properties calculated at the PBE-GGA level.

a b c (Å): 17.4123 7.7054 5.5083
angles (deg): 90.00 108.38 90.00
Closest atoms and distances in Å follow each position.
Space group C2/m (No. 12)
Unique sites:
Ac 0.0000 0.0000 0.0000 x2  8 Au 3.33-3.42
Ac 0.1662 0.0000 0.6667 x4  8 Au 3.39-3.41
Ac 0.1667 0.5000 0.6665 x4  8 Au 3.30-3.46
Nd 0.0000 0.5000 0.0000 x2  8 Au 3.26-3.30
Au 0.0000 0.2630 0.5000 x4  2 Nd 3.30, 6 Ac 3.30-3.42, 1 Au 3.65
Au 0.1618 0.2573 0.1619 x8  1 Nd 3.26, 7 Ac 3.33-3.46

## Properties
N(E_F) = 7.147 states/eV/f.u.
calculated density = 11.654 g/cm³
calculated total energy = -4.51 eV/atom
volume = 350.67 Å³/f.u.

Below is NbHgAs2Br after structural relaxation, with properties calculated at the PBE-GGA level.

a b c (Å): 5.0296 5.0296 5.3663
angles (deg): 90.00 90.00 90.00
Closest atoms and distances in Å follow each position.
Space group P4/mmm (No. 123)
Unique sites:
Nb 0.0000 0.0000 0.0000 x1  4 As 2.51, 2 Br 2.68
Hg 0.5000 0.5000 0.5000 x1  4 Br 3.56, 8 As 3.68
As 0.0000 0.5000 0.0000 x2  2 Nb 2.51
Br 0.0000 0.0000 0.5000 x1  2 Nb 2.68

## Properties
relative energy among the computed polymorphs = 0.000 eV/atom
N(E_F) = 2.900 states/eV/f.u.
raw formation energy = 0.087 eV per atom
calculated density = 6.400 g/cm³
calculated total energy = -4.18 eV/atom
volume = 135.75 Å³/f.u.

Below is PmPr2TeO8 after structural relaxation, with properties calculated at the PBE-GGA level.

a b c (Å): 4.3337 7.3024 5.5047
angles (deg): 90.00 94.48 90.00
Closest atoms and distances in Å follow each position.
Space group P2/m (No. 10)
Unique sites:
Pm 0.0000 0.0000 0.0000 x1  6 O 2.33-2.54
Pr 0.5000 0.2508 0.5000 x2  6 O 2.30-2.56
Te 0.0000 0.5000 0.0000 x1  6 O 1.95-1.99
O 0.0625 0.2971 0.7673 x4  1 Te 1.99
O 0.4073 0.5000 0.1757 x2  1 Te 1.95, 1 O 2.15
O 0.4604 0.0000 0.2474 x2  2 Pr 2.30, 1 Pm 2.33

## Properties
N(E_F) = 0.914 states/eV/f.u.
raw formation energy = -2.356 eV per atom
calculated density = 6.525 g/cm³
calculated total energy = -7.12 eV/atom
volume = 173.67 Å³/f.u.

Below is Pr3NpO6 after structural relaxation, with properties calculated at the PBE-GGA level.

a b c (Å): 10.1674 10.1674 11.8523
angles (deg): 90.00 90.00 120.00
Closest atoms and distances in Å follow each position.
Space group R-3 (No. 148, hexagonal axes)
Unique sites:
Pr 0.0380 0.7739 0.2105 x18  6 O 2.37-2.51
Np 0.0000 0.0000 0.0000 x3  6 O 2.30
Np 0.0000 0.0000 0.5000 x3  6 O 2.36
O 0.0278 0.8414 0.8761 x18  1 Np 2.30, 3 Pr 2.40-2.47
O 0.0299 0.8114 0.4068 x18  1 Np 2.36, 3 Pr 2.37-2.51

## Properties
N(E_F) = 8.297 states/eV/f.u.
raw formation energy = -3.130 eV per atom
calculated density = 7.096 g/cm³
calculated total energy = -8.83 eV/atom
volume = 176.85 Å³/f.u.

Below is HfPS2N after structural relaxation, with properties calculated at the PBE-GGA level.

a b c (Å): 4.6422 4.6422 3.3538
angles (deg): 90.00 90.00 90.00
Closest atoms and distances in Å follow each position.
Space group P4/mmm (No. 123)
Unique sites:
Hf 0.0000 0.0000 0.0000 x1  8 S 2.86
P 0.5000 0.5000 0.5000 x1  2 N 1.68
S 0.0000 0.5000 0.5000 x2  2 P 2.32
N 0.5000 0.5000 0.0000 x1  2 P 1.68

## Properties
relative energy among the computed polymorphs = 0.000 eV/atom
N(E_F) = 3.917 states/eV/f.u.
raw formation energy = 0.091 eV per atom
calculated density = 6.608 g/cm³
calculated total energy = -6.30 eV/atom
volume = 72.28 Å³/f.u.